Record 1
DFT (PBE-GGA) results for a relaxed Y3Bi5S12 crystal.

The structure in POSCAR format:
```
Y3Bi5S12
1.0
-4.106 1.480 13.511
10.408 -9.628 -0.756
4.715 12.462 -4.906
S Y Bi
48 12 20
Direct
0.274 0.414 0.831 S
0.669 0.226 0.586 S
0.140 0.414 0.083 S
0.583 0.640 0.414 S
0.914 0.831 0.774 S
0.943 0.360 0.274 S
0.831 0.917 0.057 S
0.274 0.860 0.943 S
0.226 0.557 0.640 S
0.557 0.331 0.917 S
0.860 0.586 0.917 S
0.360 0.417 0.086 S
0.226 0.669 0.086 S
0.086 0.169 0.226 S
0.583 0.943 0.669 S
0.057 0.640 0.726 S
0.443 0.774 0.860 S
0.860 0.274 0.443 S
0.586 0.860 0.417 S
0.417 0.360 0.586 S
0.640 0.057 0.226 S
0.914 0.083 0.640 S
0.086 0.917 0.360 S
0.726 0.586 0.169 S
0.417 0.057 0.331 S
0.640 0.583 0.914 S
0.443 0.669 0.083 S
0.774 0.331 0.914 S
0.057 0.417 0.831 S
0.726 0.140 0.057 S
0.669 0.443 0.583 S
0.169 0.083 0.943 S
0.083 0.914 0.140 S
0.360 0.943 0.774 S
0.331 0.557 0.417 S
0.414 0.140 0.583 S
0.140 0.726 0.557 S
0.586 0.726 0.669 S
0.331 0.774 0.414 S
0.917 0.086 0.860 S
0.557 0.226 0.140 S
0.943 0.583 0.169 S
0.083 0.169 0.443 S
0.169 0.086 0.726 S
0.917 0.831 0.557 S
0.831 0.914 0.274 S
0.414 0.274 0.331 S
0.774 0.443 0.360 S
0.250 0.625 0.875 Y
0.750 0.375 0.125 Y
0.125 0.875 0.750 Y
0.750 0.875 0.625 Y
0.125 0.250 0.875 Y
0.625 0.375 0.750 Y
0.250 0.125 0.375 Y
0.625 0.250 0.375 Y
0.875 0.125 0.250 Y
0.375 0.750 0.625 Y
0.375 0.625 0.250 Y
0.875 0.750 0.125 Y
0.625 0.750 0.875 Bi
0.375 0.250 0.125 Bi
0.500 0.000 0.500 Bi
0.875 0.250 0.625 Bi
0.000 0.500 0.500 Bi
0.500 0.000 0.000 Bi
0.250 0.375 0.625 Bi
0.000 0.500 0.000 Bi
0.500 0.500 0.000 Bi
0.750 0.625 0.375 Bi
0.500 0.500 0.500 Bi
0.125 0.750 0.375 Bi
0.000 0.000 0.000 Bi
0.250 0.875 0.125 Bi
0.375 0.125 0.750 Bi
0.125 0.375 0.250 Bi
0.625 0.875 0.250 Bi
0.875 0.625 0.750 Bi
0.000 0.000 0.500 Bi
0.750 0.125 0.875 Bi
```

- Calculated total energy: -417.46 eV/cell
- ρ: 5.11 g/cm³
- Formation energy from raw total energies: -77.37 kJ per mole of atoms
- Calculated volume: 2203.41 Å³ per cell

***

Record 2
DFT (PBE-GGA) results for a relaxed YBiS3 crystal.

The structure in POSCAR format:
```
YBiS3
1.0
5.164 0.000 0.000
0.000 5.164 0.000
0.000 0.000 5.164
S Y Bi
3 1 1
Direct
0.000 0.500 0.000 S
0.500 0.000 0.000 S
0.000 0.000 0.500 S
0.500 0.500 0.500 Y
0.000 0.000 0.000 Bi
```

- Calculated total energy: -24.04 eV/cell
- ρ: 4.75 g/cm³
- Formation energy from raw total energies: -25.32 kJ per mole of atoms
- Energy relative to the lowest polymorph listed for this composition: 926 meV per atom
- Calculated volume: 137.68 Å³ per cell

***

Record 3
DFT (PBE-GGA) results for a relaxed Y4BiS2 crystal.

The structure in POSCAR format:
```
Y4BiS2
1.0
4.097 0.000 0.000
-2.048 6.504 0.000
0.000 0.000 13.377
Y S Bi
8 4 2
Direct
0.930 0.860 0.750 Y
0.070 0.140 0.250 Y
0.500 0.000 0.000 Y
0.238 0.476 0.886 Y
0.238 0.476 0.614 Y
0.762 0.524 0.114 Y
0.762 0.524 0.386 Y
0.500 0.000 0.500 Y
0.132 0.263 0.059 S
0.132 0.263 0.441 S
0.868 0.737 0.941 S
0.868 0.737 0.559 S
0.390 0.780 0.250 Bi
0.610 0.220 0.750 Bi
```

- Calculated total energy: -95.94 eV/cell
- ρ: 5.86 g/cm³
- Formation energy from raw total energies: -137.50 kJ per mole of atoms
- Calculated volume: 356.43 Å³ per cell